# 1
Below is a PBEsol-optimized structure of ScFeCu2Br, with properties calculated at the SCAN level.

Cell lengths 4.4690, 4.4690, 4.8601 Å; angles 90.00, 90.00, 90.00 degrees
Positions (direct):
Fe  0.5000  0.5000  0.5000
Cu  0.0000  0.5000  0.0000
Cu  0.5000  0.0000  0.0000
Br  0.0000  0.0000  0.0000
Sc  0.0000  0.0000  0.5000

Values from the calculation:
energy relative to the elements, uncorrected	0.90	eV/atom
spin magnetization	0.587	μB/atom

# 2
Below is a PBEsol-optimized structure of CuGe3Br, with properties calculated at the SCAN level.

Cell lengths 5.0308, 5.0308, 5.0308 Å; angles 90.00, 90.00, 90.00 degrees
Positions (direct):
Ge  0.5000  0.0000  0.0000
Ge  0.0000  0.0000  0.5000
Ge  0.0000  0.5000  0.0000
Br  0.0000  0.0000  0.0000
Cu  0.5000  0.5000  0.5000

Values from the calculation:
energy relative to the elements, uncorrected	1.45	eV/atom
spin magnetization	0.000	μB/atom

# 3
Below is a PBEsol-optimized structure of CuHBr3, with properties calculated at the SCAN level.

Cell lengths 4.5575, 4.5575, 4.5575 Å; angles 90.00, 90.00, 90.00 degrees
Positions (direct):
H  0.0000  0.0000  0.0000
Br  0.0000  0.0000  0.5000
Br  0.5000  0.0000  0.0000
Br  0.0000  0.5000  0.0000
Cu  0.5000  0.5000  0.5000

Values from the calculation:
total energy	-14.589	eV per atom
spin magnetization	0.000	μB/atom

# 4
Below is a PBEsol-optimized structure of CuTe2HBr, with properties calculated at the SCAN level.

Cell lengths 3.3492, 5.7984, 5.7984 Å; angles 90.00, 90.00, 90.00 degrees
Positions (direct):
Br  0.0000  0.0000  0.0000
Cu  0.5000  0.5000  0.5000
H  0.5000  0.0000  0.0000
Te  0.0000  0.5000  0.0000
Te  0.0000  0.0000  0.5000

Values from the calculation:
total energy	-21.725	eV per atom
spin magnetization	0.000	μB/atom

# 5
Below is a PBEsol-optimized structure of HfCuBr3, with properties calculated at the SCAN level.

Cell lengths 5.1485, 5.1485, 5.1485 Å; angles 90.00, 90.00, 90.00 degrees
Positions (direct):
Cu  0.5000  0.5000  0.5000
Hf  0.0000  0.0000  0.0000
Br  0.0000  0.5000  0.0000
Br  0.5000  0.0000  0.0000
Br  0.0000  0.0000  0.5000

Values from the calculation:
energy relative to the elements, uncorrected	-0.22	eV/atom
spin magnetization	0.192	μB/atom

# 6
Below is a PBEsol-optimized structure of CuHgBr2, with properties calculated at the SCAN level.

Cell lengths 3.8037, 3.9540, 6.4981 Å; angles 90.00, 90.00, 90.00 degrees
Positions (direct):
Br  0.0000  0.5000  0.5000
Br  0.0000  0.0000  0.0000
Hg  0.5000  0.0000  0.5000
Cu  0.5000  0.5000  0.0000

Values from the calculation:
energy relative to the elements, uncorrected	0.07	eV/atom
ΔE to the lowest computed polymorph	110	meV per atom
spin magnetization	0.000	μB/atom

# 7
Below is a PBEsol-optimized structure of CuHgBr2, with properties calculated at the SCAN level.

Cell lengths 3.5748, 3.5748, 7.8488 Å; angles 90.00, 90.00, 90.00 degrees
Positions (direct):
Cu  0.0000  0.0000  0.4449
Br  0.0000  0.0000  0.7415
Br  0.5000  0.5000  0.3511
Hg  0.5000  0.5000  0.9624

Values from the calculation:
energy relative to the elements, uncorrected	-0.04	eV/atom
ΔE to the lowest computed polymorph	0	meV per atom
spin magnetization	0.000	μB/atom

# 8
Below is a PBEsol-optimized structure of CuHgBr2, with properties calculated at the SCAN level.

Cell lengths 3.4570, 3.6626, 8.0656 Å; angles 103.12, 102.37, 90.00 degrees
Positions (direct):
Br  0.7782  0.2782  0.5565
Br  0.9925  0.9925  0.9850
Cu  0.5493  0.5493  0.0986
Hg  0.1799  0.6799  0.3599

Values from the calculation:
energy relative to the elements, uncorrected	-0.03	eV/atom
ΔE to the lowest computed polymorph	9	meV per atom
spin magnetization	0.000	μB/atom

# 9
Below is a PBEsol-optimized structure of CuHgSeBr, with properties calculated at the SCAN level.

Cell lengths 4.2239, 9.8130, 9.7760 Å; angles 90.00, 90.00, 90.00 degrees
Positions (direct):
Hg  0.5000  0.5000  0.0000
Hg  0.5000  0.2084  0.7500
Hg  0.5000  0.7916  0.2500
Hg  0.5000  0.5000  0.5000
Cu  0.0000  0.2192  0.1159
Cu  0.0000  0.2192  0.3841
Cu  0.0000  0.7808  0.8841
Cu  0.0000  0.7808  0.6159
Br  0.0000  0.0120  0.2500
Br  0.0000  0.4444  0.2500
Br  0.0000  0.9880  0.7500
Br  0.0000  0.5556  0.7500
Se  0.5000  0.2434  0.0064
Se  0.5000  0.2434  0.4936
Se  0.5000  0.7566  0.5064
Se  0.5000  0.7566  0.9936

Values from the calculation:
energy relative to the elements, uncorrected	-0.30	eV/atom
spin magnetization	0.000	μB/atom

# 10
Below is a PBEsol-optimized structure of CuI2Br2, with properties calculated at the SCAN level.

Cell lengths 3.7785, 3.7785, 11.3721 Å; angles 99.56, 99.56, 90.00 degrees
Positions (direct):
I  0.4226  0.4226  0.8453
I  0.5774  0.5774  0.1547
Br  0.2500  0.7500  0.5000
Br  0.7500  0.2500  0.5000
Cu  0.0000  0.0000  0.0000

Values from the calculation:
energy relative to the elements, uncorrected	0.48	eV/atom
spin magnetization	0.000	μB/atom

# 11
Below is a PBEsol-optimized structure of InCuBr2, with properties calculated at the SCAN level.

Cell lengths 5.0679, 5.0679, 5.0679 Å; angles 60.00, 60.00, 60.00 degrees
Positions (direct):
Cu  0.5000  0.5000  0.5000
In  0.2500  0.2500  0.2500
Br  0.7500  0.7500  0.7500
Br  0.0000  0.0000  0.0000

Values from the calculation:
energy relative to the elements, uncorrected	0.23	eV/atom
ΔE to the lowest computed polymorph	563	meV per atom
spin magnetization	0.000	μB/atom

# 12
Below is a PBEsol-optimized structure of In2CuBr, with properties calculated at the SCAN level.

Cell lengths 3.5400, 3.7995, 7.5422 Å; angles 90.00, 90.00, 90.00 degrees
Positions (direct):
In  0.0000  0.0000  0.8661
In  0.5000  0.5000  0.2512
Cu  0.5000  0.5000  0.9099
Br  0.0000  0.0000  0.4727

Values from the calculation:
energy relative to the elements, uncorrected	-0.08	eV/atom
spin magnetization	0.000	μB/atom